Compound: Ni2RuPt6
Source: Alexandria via LeMat-Bulk
Functional: PBE
Structure: relaxed

a b c (Å): 2.746 2.746 20.439
angles (deg): 90.00 90.00 120.00
Atoms (fractional coordinates):
Ni 0.000 0.000 0.169
Ni 0.000 0.000 0.831
Ru 0.667 0.333 0.500
Pt 0.000 0.000 0.391
Pt 0.000 0.000 0.609
Pt 0.667 0.333 0.066
Pt 0.667 0.333 0.272
Pt 0.667 0.333 0.728
Pt 0.667 0.333 0.934

## Properties
Magnetization, Bohr magnetons per cell: 2.7
ρ, g/cm3: 17.28
V, A^3/atom: 14.83
Final energy, hartree per atom: -0.2318